V2SiO: optimized geometry, GGA+U.

Its total magnetic moment is 0.0 Bohr magnetons per cell. The value obtained for the distance to the lowest polymorph of the same formula is 720 meV per atom. The crystal system is cubic.

Cell: 5.804 5.804 5.804 Å, 90.00 90.00 90.00°
Space group Fm-3m (No. 225)
Unique sites:
V 0.250 0.250 0.250 [8 per cell]
Si 0.000 0.000 0.000 [4 per cell]
O 0.000 0.000 0.500 [4 per cell]